LiLaIr: optimized geometry, GGA-PBE.

Output
- ΔH_f (0 K): -0.35 eV per atom
- Space-group type: P-6m2 (187)

Cell lengths 4.344, 4.344, 3.856 Å; angles 90.00, 90.00, 120.00 degrees
Fractional positions:
Li  0.000  0.000  0.000
La  0.667  0.333  0.500
Ir  0.333  0.667  0.000

LiLa3Ir: optimized geometry, GGA-PBE.

Output
- ΔH_f (0 K): -0.26 eV per atom
- Space-group type: Pm-3m (221)

Cell lengths 5.692, 5.692, 5.692 Å; angles 90.00, 90.00, 90.00 degrees
Fractional positions:
Li  0.000  0.000  0.000
La  0.000  0.500  0.500
La  0.500  0.000  0.500
La  0.500  0.500  0.000
Ir  0.500  0.500  0.500

LiLa2Ir2: optimized geometry, GGA-PBE.

Output
- ΔH_f (0 K): -0.57 eV per atom
- Space-group type: C2/c (15)

Cell lengths 5.799, 5.799, 8.332 Å; angles 105.97, 105.97, 57.42 degrees
Fractional positions:
Li  0.119  0.881  0.750
Li  0.881  0.119  0.250
La  0.199  0.507  0.352
La  0.493  0.801  0.148
La  0.507  0.199  0.852
La  0.801  0.493  0.648
Ir  0.015  0.716  0.981
Ir  0.284  0.985  0.519
Ir  0.716  0.015  0.481
Ir  0.985  0.284  0.019

Li2La3Ir7: optimized geometry, GGA-PBE.

Output
- ΔH_f (0 K): -0.54 eV per atom
- Space-group type: R-3m (166)

Cell lengths 9.121, 9.121, 9.121 Å; angles 34.69, 34.69, 34.69 degrees
Fractional positions:
Li  0.164  0.164  0.164
Li  0.836  0.836  0.836
La  0.360  0.360  0.360
La  0.500  0.500  0.500
La  0.640  0.640  0.640
Ir  0.000  0.000  0.000
Ir  0.085  0.085  0.576
Ir  0.085  0.576  0.085
Ir  0.424  0.915  0.915
Ir  0.576  0.085  0.085
Ir  0.915  0.424  0.915
Ir  0.915  0.915  0.424